Density functional theory data (PBE-GGA) for a relaxed GaGe2SeBr crystal.

Cell lengths 5.1310, 4.9012, 5.1310 Å; angles 90.00, 90.00, 90.00 degrees
Closest atoms and distances in Å follow each position.
Fractional positions:
1 Ge 0.0000 0.0000 0.5000  2 Ga 2.57
2 Ge 0.5000 0.0000 0.0000  2 Ga 2.57
3 Ga 0.0000 0.0000 0.0000  2 Br 2.45, 4 Ge 2.57
4 Se 0.5000 0.5000 0.5000  8 Ge 3.55, 4 Br 3.63
5 Br 0.0000 0.5000 0.0000  2 Ga 2.45

Computed properties:
The calculation puts the electronic total energy at -15.30 eV for the cell shown. The formation energy (no corrections) comes out at 41 kJ/mol of atoms. For the mass density, the calculation gives 4.81 Mg/m³. Its space group is P4/mmm.